[1]
DFT (PBE-GGA) results for an optimized crystal structure of BaZn8.

```
9
Lattice="-4.556 4.556 2.187 4.556 -4.556 2.187 4.556 4.556 -2.187" Properties=species:S:1:pos:R:3 pbc="T T T"
Ba 0.000 0.000 0.000
Zn 3.247 0.000 0.000
Zn 5.865 0.000 0.000
Zn 2.722 2.722 0.000
Zn 1.835 -1.835 2.187
Zn 0.000 3.247 0.000
Zn 0.000 5.865 0.000
Zn -1.835 1.835 2.187
Zn 1.835 1.835 2.187
```

density: 6.0 g cm⁻³
M_tot: 0.0 μB/f.u.
SG: I4/mmm, No. 139
energy of formation from the pure elements: 0.07 eV/atom


[2]
DFT (PBE-GGA) results for an optimized crystal structure of Np4Se5N.

```
10
Lattice="8.583 -1.962 0.000 8.583 1.962 0.000 -1.806 0.000 7.448" Properties=species:S:1:pos:R:3 pbc="T T T"
Np -0.440 0.000 2.087
Np 5.195 0.000 3.143
Np 10.165 0.000 4.305
Np 15.801 0.000 5.361
Se 1.287 0.000 6.237
Se 2.406 0.000 2.410
Se 8.583 0.000 0.000
Se 12.954 0.000 5.038
Se 14.073 0.000 1.211
N 7.680 0.000 3.724
```

density: 9.0 g cm⁻³
M_tot: 15.0 μB/f.u.
formation energy from raw total energies: -0.97 eV/atom
SG: C2/m, No. 12


[3]
DFT (PBE-GGA) results for an optimized crystal structure of AcPrEuMg.

```
16
Lattice="8.362 0.000 0.000 0.000 8.362 0.000 0.000 0.000 8.362" Properties=species:S:1:pos:R:3 pbc="T T T"
Ac 0.000 0.000 0.000
Ac 0.000 4.181 4.181
Ac 4.181 0.000 4.181
Ac 4.181 4.181 0.000
Pr 2.090 2.090 2.090
Pr 2.090 6.271 6.271
Pr 6.271 2.090 6.271
Pr 6.271 6.271 2.090
Eu 2.090 2.090 6.271
Eu 2.090 6.271 2.090
Eu 6.271 2.090 2.090
Eu 6.271 6.271 6.271
Mg 0.000 0.000 4.181
Mg 0.000 4.181 0.000
Mg 4.181 0.000 0.000
Mg 4.181 4.181 4.181
```

density: 6.2 g cm⁻³
M_tot: 7.3 μB/f.u.
SG: F-43m, No. 216
energy of formation from the pure elements: 0.10 eV/atom


[4]
DFT (PBE-GGA) results for an optimized crystal structure of Ca3Cd9Au2.

```
14
Lattice="-2.431 5.300 6.602 2.431 -5.300 6.602 2.431 5.300 -6.602" Properties=species:S:1:pos:R:3 pbc="T T T"
Ca 0.000 0.000 0.000
Ca 0.000 0.000 3.978
Ca 0.000 0.000 9.225
Cd 2.431 -1.421 1.978
Cd 2.431 -2.358 4.841
Cd 2.431 1.421 1.978
Cd 0.000 2.942 1.761
Cd 0.000 5.300 0.000
Cd 2.431 2.358 4.841
Cd 0.000 3.879 4.624
Cd 0.000 7.658 1.761
Cd 0.000 6.721 4.624
Au 2.431 3.556 0.000
Au 0.000 1.744 6.602
```

density: 7.4 g cm⁻³
M_tot: 0.0 μB/f.u.
SG: Immm, No. 71
energy of formation from the pure elements: -0.31 eV/atom


[5]
DFT (PBE-GGA) results for an optimized crystal structure of Ta2Tc2O.

```
10
Lattice="7.077 0.000 0.000 0.000 7.077 0.000 0.000 0.000 3.251" Properties=species:S:1:pos:R:3 pbc="T T T"
Ta 1.075 2.463 0.000
Ta 2.463 6.002 0.000
Ta 4.613 1.075 0.000
Ta 6.002 4.613 0.000
Tc 1.023 4.561 1.626
Tc 2.516 1.023 1.626
Tc 4.561 6.054 1.626
Tc 6.054 2.516 1.626
O 0.000 0.000 1.626
O 3.538 3.538 1.626
```

density: 11.7 g cm⁻³
M_tot: 0.0 μB/f.u.
formation energy from raw total energies: 0.45 eV/atom
SG: P4/mbm, No. 127
polymorph energy (0 for the lowest one): 0.0 meV per atom


[6]
DFT (PBE-GGA) results for an optimized crystal structure of PrY6Tm5.

```
12
Lattice="2.868 -8.862 0.000 2.868 8.862 0.000 0.000 0.000 7.565" Properties=species:S:1:pos:R:3 pbc="T T T"
Pr 0.000 0.000 0.000
Y 2.868 5.660 1.966
Y 2.868 5.660 5.599
Y 2.868 0.000 1.802
Y 2.868 0.000 5.764
Y 2.868 -5.660 1.966
Y 2.868 -5.660 5.599
Tm 0.000 0.000 3.783
Tm 2.868 2.836 0.000
Tm 2.868 2.635 3.783
Tm 2.868 -2.635 3.783
Tm 2.868 -2.836 0.000
```

density: 6.6 g cm⁻³
M_tot: 0.0 μB/f.u.
SG: Cmmm, No. 65
polymorph energy (0 for the lowest one): 85.0 meV per atom
energy of formation from the pure elements: 0.11 eV/atom


[7]
DFT (PBE-GGA) results for an optimized crystal structure of K2InHg4.

```
14
Lattice="5.591 0.000 0.000 0.000 5.591 0.000 0.000 0.000 18.110" Properties=species:S:1:pos:R:3 pbc="T T T"
K 0.000 0.000 2.379
K 0.000 0.000 15.731
K 2.795 2.795 6.676
K 2.795 2.795 11.434
In 0.000 0.000 9.055
In 2.795 2.795 0.000
Hg 0.000 0.000 5.821
Hg 0.000 0.000 12.289
Hg 0.000 2.795 0.000
Hg 0.000 2.795 9.055
Hg 2.795 0.000 0.000
Hg 2.795 0.000 9.055
Hg 2.795 2.795 3.234
Hg 2.795 2.795 14.876
```

density: 5.8 g cm⁻³
M_tot: 0.0 μB/f.u.
SG: I4/mmm, No. 139
polymorph energy (0 for the lowest one): 10.5 meV per atom
energy of formation from the pure elements: -0.11 eV/atom


[8]
DFT (PBE-GGA) results for an optimized crystal structure of PmNd6Pb.

```
8
Lattice="6.458 0.000 0.000 -0.004 6.459 0.000 -0.003 -0.011 6.464" Properties=species:S:1:pos:R:3 pbc="T T T"
Pm 0.000 0.000 0.000
Nd -0.001 4.785 3.229
Nd 1.665 3.231 0.003
Nd 3.230 -0.001 1.671
Nd 3.221 6.448 4.793
Nd 4.786 3.216 6.461
Nd 6.451 1.662 3.235
Pb 3.225 3.224 3.232
```

density: 7.5 g cm⁻³
M_tot: 0.0 μB/f.u.
SG: P-1, No. 2
polymorph energy (0 for the lowest one): 75.4 meV per atom
energy of formation from the pure elements: -0.07 eV/atom


[9]
DFT (PBE-GGA) results for an optimized crystal structure of ReSn2S2.

```
10
Lattice="5.636 0.000 0.000 0.000 5.636 0.000 0.000 0.000 7.720" Properties=species:S:1:pos:R:3 pbc="T T T"
Re 0.000 0.000 0.000
Re 2.818 2.818 3.860
Sn 0.000 2.818 1.930
Sn 0.000 2.818 5.790
Sn 2.818 0.000 1.930
Sn 2.818 0.000 5.790
S 0.000 0.000 2.326
S 0.000 0.000 5.394
S 2.818 2.818 1.534
S 2.818 2.818 6.186
```

density: 6.6 g cm⁻³
M_tot: 3.0 μB/f.u.
formation energy from raw total energies: 0.53 eV/atom
SG: I4/mmm, No. 139
polymorph energy (0 for the lowest one): 347.9 meV per atom


[10]
DFT (PBE-GGA) results for an optimized crystal structure of Li2AlZn4.

```
7
Lattice="4.857 0.000 0.000 -2.239 4.497 0.000 -0.773 -0.809 5.081" Properties=species:S:1:pos:R:3 pbc="T T T"
Li -0.408 1.245 2.014
Li 2.252 2.444 3.067
Al 2.042 -0.404 2.541
Zn -1.771 3.422 0.669
Zn -0.067 2.527 4.681
Zn 1.911 1.162 0.400
Zn 3.615 0.267 4.413
```

density: 4.5 g cm⁻³
M_tot: 0.0 μB/f.u.
SG: P-1, No. 2
energy of formation from the pure elements: -0.12 eV/atom


[11]
DFT (PBE-GGA) results for an optimized crystal structure of Tl5Cd4.

```
18
Lattice="9.666 0.000 0.000 -4.833 8.371 0.000 0.000 0.000 6.287" Properties=species:S:1:pos:R:3 pbc="T T T"
Tl -1.414 2.450 1.572
Tl -3.418 5.921 4.716
Tl 2.829 0.000 1.572
Tl 1.414 2.450 4.716
Tl 0.000 5.580 0.000
Tl 0.000 5.580 3.144
Tl 4.833 2.790 0.000
Tl 4.833 2.790 3.144
Tl 6.837 0.000 4.716
Tl 3.418 5.921 1.572
Cd 0.000 0.000 0.000
Cd 0.000 0.000 3.144
Cd -1.787 3.095 4.716
Cd -3.046 5.275 1.572
Cd 3.574 0.000 4.716
Cd 1.787 3.095 1.572
Cd 6.092 0.000 1.572
Cd 3.046 5.275 4.716
```

density: 9.6 g cm⁻³
M_tot: 0.0 μB/f.u.
SG: P6_3/mcm, No. 193
polymorph energy (0 for the lowest one): 23.6 meV per atom
energy of formation from the pure elements: 0.06 eV/atom


[12]
DFT (PBE-GGA) results for an optimized crystal structure of KNdSe2.

```
12
Lattice="4.323 0.000 0.000 -2.161 3.744 0.000 0.000 0.000 23.676" Properties=species:S:1:pos:R:3 pbc="T T T"
K 0.000 0.000 0.000
K 0.000 2.496 15.784
K 2.161 1.248 7.892
Nd 0.000 0.000 4.021
Nd 0.000 2.496 19.805
Nd 2.161 1.248 11.913
Se 0.000 0.000 13.560
Se 0.000 0.000 18.153
Se 0.000 2.496 5.668
Se 0.000 2.496 10.261
Se 2.161 1.248 2.369
Se 2.161 1.248 21.452
```

density: 4.4 g cm⁻³
M_tot: 0.0 μB/f.u.
formation energy from raw total energies: -1.73 eV/atom
SG: R3m, No. 160


[13]
DFT (PBE-GGA) results for an optimized crystal structure of LiLuCdRu.

```
16
Lattice="6.650 0.000 0.000 0.000 6.650 0.000 0.000 0.000 6.650" Properties=species:S:1:pos:R:3 pbc="T T T"
Li 0.000 0.000 0.000
Li 0.000 3.325 3.325
Li 3.325 0.000 3.325
Li 3.325 3.325 0.000
Lu 1.662 1.662 4.987
Lu 1.662 4.987 1.662
Lu 4.987 1.662 1.662
Lu 4.987 4.987 4.987
Cd 1.662 1.662 1.662
Cd 1.662 4.987 4.987
Cd 4.987 1.662 4.987
Cd 4.987 4.987 1.662
Ru 0.000 0.000 3.325
Ru 0.000 3.325 0.000
Ru 3.325 0.000 0.000
Ru 3.325 3.325 3.325
```

density: 8.9 g cm⁻³
M_tot: 0.0 μB/f.u.
SG: F-43m, No. 216
energy of formation from the pure elements: -0.15 eV/atom


[14]
DFT (PBE-GGA) results for an optimized crystal structure of Cu2Ag2Au5.

```
18
Lattice="7.072 -3.380 0.000 7.072 3.380 0.000 0.000 0.000 6.769" Properties=species:S:1:pos:R:3 pbc="T T T"
Cu 7.072 2.494 5.891
Cu 7.072 0.886 2.506
Cu 7.072 -0.886 4.263
Cu 7.072 -2.494 0.879
Ag 3.052 0.000 3.385
Ag 4.020 0.000 0.000
Ag 10.124 0.000 0.000
Ag 11.092 0.000 3.385
Au 0.000 0.000 3.385
Au 5.326 2.260 1.136
Au 5.326 1.120 4.521
Au 8.818 2.260 1.136
Au 8.818 1.120 4.521
Au 7.072 0.000 0.000
Au 5.326 -1.120 2.249
Au 5.326 -2.260 5.633
Au 8.818 -1.120 2.249
Au 8.818 -2.260 5.633
```

density: 13.6 g cm⁻³
M_tot: 0.0 μB/f.u.
SG: Cmce, No. 64
polymorph energy (0 for the lowest one): 112.9 meV per atom
energy of formation from the pure elements: 0.11 eV/atom


[15]
DFT (PBE-GGA) results for an optimized crystal structure of ZrSc2AuO.

```
5
Lattice="4.378 0.000 0.000 0.000 4.378 0.000 0.000 0.000 4.459" Properties=species:S:1:pos:R:3 pbc="T T T"
Zr 0.000 0.000 0.000
Sc 0.000 2.189 2.229
Sc 2.189 0.000 2.229
Au 2.189 2.189 0.000
O 0.000 0.000 2.229
```

density: 7.7 g cm⁻³
M_tot: 0.0 μB/f.u.
formation energy from raw total energies: -1.49 eV/atom
SG: P4/mmm, No. 123


[16]
DFT (PBE-GGA) results for an optimized crystal structure of ReTcP2.

```
12
Lattice="2.952 0.000 0.000 -1.476 2.557 0.000 0.000 0.000 22.340" Properties=species:S:1:pos:R:3 pbc="T T T"
Re 0.000 0.000 0.000
Re 0.000 1.704 14.893
Re 1.476 0.852 7.447
Tc 0.000 0.000 5.176
Tc 0.000 1.704 20.069
Tc 1.476 0.852 12.622
P 0.000 0.000 10.971
P 0.000 0.000 16.572
P 0.000 1.704 3.524
P 0.000 1.704 9.126
P 1.476 0.852 1.679
P 1.476 0.852 18.417
```

density: 10.2 g cm⁻³
M_tot: 0.0 μB/f.u.
SG: R3m, No. 160
polymorph energy (0 for the lowest one): 193.9 meV per atom
energy of formation from the pure elements: -0.10 eV/atom


[17]
DFT (PBE-GGA) results for an optimized crystal structure of LaPrLuMg.

```
16
Lattice="7.963 0.000 0.000 0.000 7.963 0.000 0.000 0.000 7.963" Properties=species:S:1:pos:R:3 pbc="T T T"
La 0.000 0.000 0.000
La 0.000 3.981 3.981
La 3.981 0.000 3.981
La 3.981 3.981 0.000
Pr 0.000 0.000 3.981
Pr 0.000 3.981 0.000
Pr 3.981 0.000 0.000
Pr 3.981 3.981 3.981
Lu 1.991 1.991 1.991
Lu 1.991 5.972 5.972
Lu 5.972 1.991 5.972
Lu 5.972 5.972 1.991
Mg 1.991 1.991 5.972
Mg 1.991 5.972 1.991
Mg 5.972 1.991 1.991
Mg 5.972 5.972 5.972
```

density: 6.3 g cm⁻³
M_tot: 0.0 μB/f.u.
SG: F-43m, No. 216
energy of formation from the pure elements: -0.01 eV/atom


[18]
DFT (PBE-GGA) results for an optimized crystal structure of Mn3AgN.

```
5
Lattice="4.005 0.000 0.000 0.000 4.005 0.000 0.000 0.000 4.005" Properties=species:S:1:pos:R:3 pbc="T T T"
Mn 0.000 0.000 2.003
Mn 0.000 2.003 0.000
Mn 2.003 0.000 0.000
Ag 2.003 2.003 2.003
N 0.000 0.000 0.000
```

density: 7.4 g cm⁻³
M_tot: 9.9 μB/f.u.
formation energy from raw total energies: -0.06 eV/atom
SG: Pm-3m, No. 221
polymorph energy (0 for the lowest one): 0.0 meV per atom


[19]
DFT (PBE-GGA) results for an optimized crystal structure of NdThCu.

```
3
Lattice="4.901 0.000 0.000 -2.450 4.244 0.000 0.000 0.000 3.743" Properties=species:S:1:pos:R:3 pbc="T T T"
Nd 0.000 0.000 0.000
Th 0.000 2.829 2.203
Cu 2.450 1.415 1.262
```

density: 9.4 g cm⁻³
M_tot: 0.0 μB/f.u.
SG: P3m1, No. 156
polymorph energy (0 for the lowest one): 199.3 meV per atom
energy of formation from the pure elements: 0.17 eV/atom


[20]
DFT (PBE-GGA) results for an optimized crystal structure of LiSi2Se.

```
8
Lattice="3.740 0.000 0.000 0.000 4.729 0.000 0.000 0.000 8.600" Properties=species:S:1:pos:R:3 pbc="T T T"
Li 0.000 0.000 0.000
Li 1.870 2.364 4.300
Si 0.000 0.000 4.992
Si 0.000 2.364 2.213
Si 1.870 0.000 6.513
Si 1.870 2.364 0.692
Se 0.000 2.364 6.264
Se 1.870 0.000 1.964
```

density: 3.1 g cm⁻³
M_tot: 0.0 μB/f.u.
formation energy from raw total energies: 0.12 eV/atom
SG: Imm2, No. 44


[21]
DFT (PBE-GGA) results for an optimized crystal structure of TlInGaPb.

```
4
Lattice="3.565 0.000 0.000 0.000 3.565 0.000 0.000 0.000 8.605" Properties=species:S:1:pos:R:3 pbc="T T T"
Tl 0.000 0.000 0.000
In 1.783 1.783 2.362
Ga 0.000 0.000 4.126
Pb 1.783 1.783 6.090
```

density: 9.0 g cm⁻³
M_tot: 0.0 μB/f.u.
SG: P4mm, No. 99
polymorph energy (0 for the lowest one): 0.0 meV per atom
energy of formation from the pure elements: 0.03 eV/atom


[22]
DFT (PBE-GGA) results for an optimized crystal structure of Zr5Rh3.

```
48
Lattice="7.955 0.000 0.000 -3.978 6.889 0.000 0.000 0.000 17.173" Properties=species:S:1:pos:R:3 pbc="T T T"
Zr -1.002 1.735 5.724
Zr -2.976 5.155 14.311
Zr -0.828 1.617 17.090
Zr -2.991 5.363 2.945
Zr 0.828 1.617 8.670
Zr -2.163 6.798 11.365
Zr 1.815 0.091 5.808
Zr 0.987 1.526 14.228
Zr -0.562 4.268 10.018
Zr 2.003 0.000 0.000
Zr 1.002 1.735 2.862
Zr -0.082 4.545 1.431
Zr 0.082 4.545 7.155
Zr 0.000 4.688 12.880
Zr 0.562 4.268 15.742
Zr 0.000 5.242 4.293
Zr 3.978 1.647 12.880
Zr 3.416 2.621 7.155
Zr 3.978 2.202 4.293
Zr 3.895 2.344 15.742
Zr 4.060 2.344 10.018
Zr 5.952 0.000 8.587
Zr 2.976 5.155 11.449
Zr 4.540 2.621 1.431
Zr 2.991 5.363 5.641
Zr 2.163 6.798 14.394
Zr 6.140 0.091 2.779
Zr 3.149 5.272 0.083
Zr 6.969 1.526 11.532
Zr 4.806 5.272 8.503
Rh -1.517 2.628 14.311
Rh -2.461 4.262 5.724
Rh -1.425 2.929 3.283
Rh -2.154 4.191 16.752
Rh 3.034 0.000 8.587
Rh 1.517 2.628 11.449
Rh 1.425 2.929 5.304
Rh -0.729 6.660 14.732
Rh 3.249 0.230 2.441
Rh 1.824 2.699 0.421
Rh 2.154 4.191 9.007
Rh 0.729 6.660 11.028
Rh 4.706 0.230 6.145
Rh 2.552 3.961 13.890
Rh 4.921 0.000 0.000
Rh 2.461 4.262 2.862
Rh 6.132 2.699 8.166
Rh 5.403 3.961 11.869
```

density: 8.1 g cm⁻³
M_tot: 0.0 μB/f.u.
SG: P6_122, No. 178
polymorph energy (0 for the lowest one): 0.0 meV per atom
energy of formation from the pure elements: -0.61 eV/atom


[23]
DFT (PBE-GGA) results for an optimized crystal structure of LiTa2Rh.

```
4
Lattice="2.800 0.000 0.000 0.000 4.350 0.000 -1.106 0.000 5.226" Properties=species:S:1:pos:R:3 pbc="T T T"
Li 0.000 0.000 0.000
Ta 0.059 2.175 4.039
Ta 1.233 0.000 2.480
Rh 2.171 2.175 1.320
```

density: 12.3 g cm⁻³
M_tot: 0.0 μB/f.u.
SG: Pm, No. 6
energy of formation from the pure elements: 0.00 eV/atom